No. 1
A plane-wave DFT calculation with PBE was carried out for KYI2O after structural relaxation.

The distance to the lowest polymorph of the same formula comes out at 8.13 eV/f.u. As for the magnetic moment: 0.0007 μB per atom.

The space group is P4/mmm (No. 123) and the conventional cell measures 6.131, 6.131 and 4.209 Å, with angles of 90.00, 90.00 and 90.00 degrees. Symmetry generates all atoms from K at (0.000, 0.000, 0.000), Y at (0.500, 0.500, 0.500), I at (0.000, 0.500, 0.000) and O at (0.000, 0.000, 0.500).

---

No. 2
A plane-wave DFT calculation with PBE was carried out for KYI2O after structural relaxation.

The distance to the lowest polymorph of the same formula comes out at 0.00 eV/f.u. As for the magnetic moment: 0.0000 μB per atom.

The space group is P4/mmm (No. 123) and the conventional cell measures 6.341, 6.341 and 4.248 Å, with angles of 90.00, 90.00 and 90.00 degrees. Symmetry generates all atoms from K at (0.000, 0.000, 0.000), Y at (0.500, 0.500, 0.500), I at (0.000, 0.500, 0.500) and O at (0.500, 0.500, 0.000).

---

No. 3
A plane-wave DFT calculation with PBE was carried out for K2YIO6 after structural relaxation.

As for the magnetic moment: 0.0000 μB per atom.

The space group is R-3m (No. 166, hexagonal axes) and the conventional cell measures 6.1347, 6.1347 and 29.9742 Å, with angles of 90.00, 90.00 and 120.00 degrees. Symmetry generates all atoms from K at (0.0000, 0.0000, 0.1349), K at (0.0000, 0.0000, 0.2654), Y at (0.0000, 0.0000, 0.4001), I at (0.0000, 0.0000, 0.0000), I at (0.0000, 0.0000, 0.5000), O at (0.0410, 0.5205, 0.7032) and O at (0.0481, 0.5240, 0.1278).

---

No. 4
A plane-wave DFT calculation with PBE was carried out for KZnI2O after structural relaxation.

The distance to the lowest polymorph of the same formula comes out at 5.17 eV/f.u. As for the magnetic moment: 0.4032 μB per atom.

The space group is P4/mmm (No. 123) and the conventional cell measures 6.592, 6.592 and 5.071 Å, with angles of 90.00, 90.00 and 90.00 degrees. Symmetry generates all atoms from K at (0.000, 0.000, 0.000), Zn at (0.500, 0.500, 0.500), I at (0.000, 0.500, 0.000) and O at (0.000, 0.000, 0.500).

---

No. 5
A plane-wave DFT calculation with PBE was carried out for KZnI2O after structural relaxation.

The distance to the lowest polymorph of the same formula comes out at 0.00 eV/f.u. As for the magnetic moment: 0.0007 μB per atom.

The space group is P4/mmm (No. 123) and the conventional cell measures 6.573, 6.573 and 3.568 Å, with angles of 90.00, 90.00 and 90.00 degrees. Symmetry generates all atoms from K at (0.000, 0.000, 0.000), Zn at (0.500, 0.500, 0.500), I at (0.000, 0.500, 0.500) and O at (0.500, 0.500, 0.000).

---

No. 6
A plane-wave DFT calculation with PBE was carried out for K2ZnIO4 after structural relaxation.

As for the magnetic moment: 0.1261 μB per atom.

The space group is I-4 (No. 82) and the conventional cell measures 6.301, 6.301 and 7.046 Å, with angles of 90.00, 90.00 and 90.00 degrees. Symmetry generates all atoms from K at (0.000, 0.000, 0.000), K at (0.000, 0.500, 0.250), Zn at (0.000, 0.000, 0.500), I at (0.000, 0.500, 0.750) and O at (0.139, 0.788, 0.675).

---

Number 1: formation energy from raw total energies -0.219 eV/atom. Number 2: formation energy from raw total energies -1.845 eV/atom. Number 3: formation energy from raw total energies -1.640 eV/atom. Number 4: formation energy from raw total energies 0.279 eV/atom. Number 5: formation energy from raw total energies -0.755 eV/atom. Number 6: formation energy from raw total energies -0.988 eV/atom.